Below is AlAuS2 after structural relaxation, with properties calculated at the PBE level.

Values from the calculation:
The value obtained for the calculated total energy is -4.48 eV per atom. The symmetry is Cc (9). As for the density of states at the Fermi level: 0.0 states/eV/f.u.

Cell: 6.1930 6.1930 6.2948 Å, 117.43 117.43 91.99°
Last column: nearest neighbours and their distance in Å.
Fractional positions:
Al1 0.1191 0.8809 0.5000  4 S 2.29-2.31
Al2 0.8809 0.1191 0.0000  4 S 2.29-2.31
Au1 0.3947 0.3998 0.0152  2 S 2.34-2.37
Au2 0.3998 0.3947 0.5152  2 S 2.34-2.37
S1 0.1788 0.9495 0.2004  2 Al 2.29-2.30, 1 Au 2.37
S2 0.4904 0.8378 0.7910  2 Al 2.30-2.31, 1 Au 2.34
S3 0.8378 0.4904 0.2910  2 Al 2.30-2.31, 1 Au 2.34
S4 0.9495 0.1788 0.7004  2 Al 2.29-2.30, 1 Au 2.37